[1]
KNi2H | PBE | relaxed

V: 236.4 Å³ per cell
Distance to the lowest polymorph of the same formula: 1196 meV/atom
E_tot: -2.515 eV/atom
ρ: 4.43 g cm⁻³

a b c (Å): 6.1831 6.1831 6.1831
angles (deg): 90.00 90.00 90.00
Last column: nearest neighbours and their distance in Å.
Space group Fm-3m (No. 225)
Inequivalent atoms, fractional coordinates:
K 0.0000 0.0000 0.0000  8 Ni 2.68
Ni 0.2500 0.2500 0.2500  4 H 2.68, 4 K 2.68
H 0.0000 0.0000 0.5000  8 Ni 2.68



[2]
HoZn4Si2 | PBE | relaxed

Raw formation energy: -0.23 eV/atom
V: 234.0 Å³ per cell
E_tot: -3.159 eV/atom
ρ: 6.85 g cm⁻³

a b c (Å): 3.9748 14.8608 3.9618
angles (deg): 90.00 90.00 90.00
Last column: nearest neighbours and their distance in Å.
Space group Cmmm (No. 65)
Inequivalent atoms, fractional coordinates:
Ho 0.0000 0.0000 0.0000  8 Si 3.04, 4 Zn 3.36
Zn 0.0000 0.1828 0.5000  2 Si 2.52, 8 Zn 2.77-2.82
Zn 0.0000 0.3126 0.0000  2 Si 2.56, 8 Zn 2.72-2.81
Si 0.0000 0.4214 0.5000  1 Si 2.34, 4 Zn 2.52-2.56



[3]
TlBNO2 | PBE | relaxed

Raw formation energy: 1.91 eV/atom
V: 82.1 Å³ per cell
E_tot: -3.552 eV/atom
ρ: 5.28 g cm⁻³

a b c (Å): 4.3062 4.3062 4.4259
angles (deg): 90.00 90.00 90.00
Last column: nearest neighbours and their distance in Å.
Space group P4/mmm (No. 123)
Inequivalent atoms, fractional coordinates:
Tl 0.0000 0.0000 0.0000  4 O 2.15, 2 N 2.21
B 0.5000 0.5000 0.5000  4 N 3.04, 8 O 3.09
N 0.0000 0.0000 0.5000  2 Tl 2.21
O 0.0000 0.5000 0.0000  2 Tl 2.15



> E_tot of number 2 (HoZn4Si2)?

-3.159 eV/atom



> Which of these has the lowest V?

TlBNO2